# 1
Here is a relaxed K2TiBSe4 crystal from Alexandria. Energies are from GGA-PBE.

Cell: 13.827 12.437 7.363 Å, 84.45 63.54 32.01°
Positions (direct):
1 K 0.055 0.055 0.695
2 K 0.305 0.305 0.945
3 K 0.695 0.695 0.055
4 K 0.945 0.945 0.305
5 Ti 0.125 0.125 0.125
6 Ti 0.875 0.875 0.875
7 B 0.375 0.375 0.375
8 B 0.625 0.625 0.625
9 Se 0.028 0.622 0.540
10 Se 0.309 0.540 0.622
11 Se 0.378 0.972 0.691
12 Se 0.460 0.691 0.972
13 Se 0.540 0.309 0.028
14 Se 0.622 0.028 0.309
15 Se 0.691 0.460 0.378
16 Se 0.972 0.378 0.460

Values from the calculation:
raw total energy: -4.659 eV per atom
N(E_F): 0.146 states/eV/atom
uncorrected formation energy: -0.821 eV per atom



# 2
Here is a relaxed NdDy2Cd6 crystal from Alexandria. Energies are from GGA-PBE.

Cell: 8.688 8.688 3.433 Å, 90.00 90.00 120.00°
Positions (direct):
1 Nd 0.000 0.000 0.000
2 Dy 0.333 0.667 0.000
3 Dy 0.667 0.333 0.000
4 Cd 0.000 0.336 0.500
5 Cd 0.000 0.664 0.500
6 Cd 0.336 0.000 0.500
7 Cd 0.336 0.336 0.500
8 Cd 0.664 0.000 0.500
9 Cd 0.664 0.664 0.500

Values from the calculation:
raw total energy: -2.485 eV per atom
energy of formation from the pure elements: -0.323 eV/atom
N(E_F): 0.876 states/eV/atom



# 3
Here is a relaxed PmBiAu crystal from Alexandria. Energies are from GGA-PBE.

Cell: 4.695 4.695 4.380 Å, 90.00 90.00 120.00°
Positions (direct):
1 Pm 0.000 0.000 0.000
2 Bi 0.667 0.333 0.547
3 Au 0.333 0.667 0.322

Values from the calculation:
raw total energy: -4.635 eV per atom
energy of formation from the pure elements: -0.665 eV/atom
N(E_F): 0.522 states/eV/atom
excess energy over the best structure of this formula in the dataset: 0.051 eV per atom